w.
Li2CoP2O7: single point on PBEsol structure, SCAN.

Its density is 2.92 Mg/m³. As for the calculated volume: 11.7 Å³/atom.

a = 5.990 Å, b = 12.991 Å, c = 7.204 Å
α = 90.00°, β = 90.00°, γ = 90.00°
Space group Imma (No. 74)
Inequivalent atoms, fractional coordinates:
Li  0.250  0.026  0.250 x8
Co  0.250  0.250  0.250 x4
P  0.000  0.143  0.547 x8
O  0.000  0.057  0.687 x8
O  0.000  0.250  0.660 x4
O  0.213  0.143  0.425 x16

***

x.
Li2CoP2O7: single point on PBEsol structure, SCAN.

Its density is 3.13 Mg/m³. As for the calculated volume: 10.9 Å³/atom. The calculation puts the density of states at the Fermi level at 0.00 states/eV/atom.

a = 7.981 Å, b = 5.035 Å, c = 14.225 Å
α = 90.00°, β = 113.83°, γ = 90.00°
Space group P2_1/c (No. 14)
Inequivalent atoms, fractional coordinates:
Li  0.017  0.182  0.186 x4
Li  0.420  0.172  0.173 x4
Co  0.272  0.188  0.885 x4
P  0.191  0.695  0.188 x4
P  0.306  0.682  0.021 x4
O  0.007  0.711  0.689 x4
O  0.153  0.729  0.068 x4
O  0.223  0.691  0.415 x4
O  0.225  0.100  0.716 x4
O  0.329  0.119  0.518 x4
O  0.350  0.628  0.750 x4
O  0.475  0.667  0.594 x4

***

What should be chosen as the least stable of them? Choose w.

***

w.
Li2CoP2O7: single point on PBEsol structure, SCAN.

Its density is 3.24 Mg/m³. As for the calculated volume: 10.5 Å³/atom. The calculation puts the density of states at the Fermi level at 0.00 states/eV/atom.

a = 8.822 Å, b = 4.728 Å, c = 12.306 Å
α = 90.00°, β = 99.51°, γ = 90.00°
Space group Cc (No. 9)
Inequivalent atoms, fractional coordinates:
Li  0.000  0.195  0.000 x4
Li  0.216  0.262  0.680 x4
Co  0.135  0.241  0.388 x4
P  0.335  0.226  0.031 x4
P  0.436  0.194  0.268 x4
O  0.063  0.489  0.247 x4
O  0.208  0.012  0.043 x4
O  0.282  0.487  0.965 x4
O  0.291  0.048  0.291 x4
O  0.386  0.373  0.153 x4
O  0.481  0.094  0.001 x4
O  0.497  0.423  0.349 x4

***

x.
Li2CoP2O7: single point on PBEsol structure, SCAN.

Its density is 2.73 Mg/m³. As for the calculated volume: 12.5 Å³/atom. The calculation puts the density of states at the Fermi level at 0.00 states/eV/atom.

a = 15.332 Å, b = 4.944 Å, c = 8.761 Å
α = 90.00°, β = 115.20°, γ = 90.00°
Space group C2/c (No. 15)
Inequivalent atoms, fractional coordinates:
Li  0.189  0.146  0.052 x8
Co  0.000  0.000  0.000 x4
P  0.102  0.362  0.316 x8
O  0.000  0.478  0.750 x4
O  0.099  0.147  0.441 x8
O  0.105  0.225  0.160 x8
O  0.180  0.428  0.893 x8

***

y.
Li2CoP2O7: single point on PBEsol structure, SCAN.

Its density is 2.92 Mg/m³. As for the calculated volume: 11.7 Å³/atom. The calculation puts the density of states at the Fermi level at 0.00 states/eV/atom.

a = 7.544 Å, b = 7.544 Å, c = 4.933 Å
α = 90.00°, β = 90.00°, γ = 90.00°
Space group P-42_1m (No. 113)
Inequivalent atoms, fractional coordinates:
Li  0.212  0.288  0.041 x4
Co  0.000  0.000  0.500 x2
P  0.144  0.644  0.398 x4
O  0.000  0.500  0.300 x2
O  0.082  0.815  0.253 x8
O  0.155  0.655  0.701 x4

***

z.
Li2CoP2O7: single point on PBEsol structure, SCAN.

Its density is 3.03 Mg/m³. As for the calculated volume: 11.3 Å³/atom. The calculation puts the density of states at the Fermi level at 0.00 states/eV/atom.

a = 4.932 Å, b = 8.202 Å, c = 7.082 Å
α = 90.00°, β = 109.47°, γ = 90.00°
Space group P2_1 (No. 4)
Inequivalent atoms, fractional coordinates:
Li  0.139  0.000  0.414 x2
Li  0.332  0.329  0.850 x2
Co  0.300  0.687  0.781 x2
P  0.107  0.999  0.982 x2
P  0.290  0.388  0.414 x2
O  0.075  0.494  0.880 x2
O  0.109  0.516  0.245 x2
O  0.117  0.231  0.397 x2
O  0.273  0.840  0.996 x2
O  0.299  0.149  0.014 x2
O  0.316  0.476  0.610 x2
O  0.416  0.863  0.611 x2

***

What should be chosen as the least stable of them? Choose y.

***

w.
Li3Co2P3O12: single point on PBEsol structure, SCAN.

Its density is 3.58 Mg/m³. As for the calculated volume: 9.8 Å³/atom. The calculation puts the density of states at the Fermi level at 0.00 states/eV/atom.

a = 8.125 Å, b = 8.395 Å, c = 14.010 Å
α = 90.00°, β = 124.72°, γ = 90.00°
Space group P2_1/c (No. 14)
Inequivalent atoms, fractional coordinates:
Li  0.001  0.209  0.167 x4
Li  0.268  0.001  0.840 x4
Li  0.387  0.089  0.306 x4
Co  0.134  0.028  0.384 x4
Co  0.358  0.027  0.108 x4
P  0.035  0.624  0.642 x4
P  0.257  0.117  0.644 x4
P  0.459  0.748  0.991 x4
O  0.016  0.715  0.190 x4
O  0.116  0.078  0.685 x4
O  0.122  0.502  0.746 x4
O  0.157  0.076  0.519 x4
O  0.171  0.626  0.600 x4
O  0.180  0.055  0.946 x4
O  0.249  0.677  0.937 x4
O  0.270  0.197  0.160 x4
O  0.381  0.121  0.439 x4
O  0.455  0.025  0.725 x4
O  0.459  0.673  0.390 x4
O  0.496  0.632  0.585 x4

***

x.
Li3Co2P3O12: single point on PBEsol structure, SCAN.

Its density is 3.30 Mg/m³. As for the calculated volume: 10.7 Å³/atom.

a = 8.2037 Å, b = 8.2037 Å, c = 21.9448 Å
α = 90.00°, β = 90.00°, γ = 120.00°
Space group R-3 (No. 148, hexagonal axes)
Inequivalent atoms, fractional coordinates:
Li  0.0260  0.3886  0.2142 x18
Co  0.0000  0.0000  0.1522 x6
Co  0.0000  0.0000  0.3555 x6
P  0.0087  0.2914  0.7508 x18
O  0.0164  0.2051  0.6907 x18
O  0.0374  0.8301  0.5840 x18
O  0.0884  0.8645  0.1975 x18
O  0.1005  0.8772  0.8976 x18

***

What should be chosen as the least stable of them? Choose x.

***

w.
LiCoP2O7: single point on PBEsol structure, SCAN.

Its density is 3.40 Mg/m³. As for the calculated volume: 10.6 Å³/atom. The calculation puts the density of states at the Fermi level at 0.00 states/eV/atom.

a = 4.675 Å, b = 7.715 Å, c = 6.822 Å
α = 90.00°, β = 107.98°, γ = 90.00°
Space group P2_1 (No. 4)
Inequivalent atoms, fractional coordinates:
Li  0.171  0.000  0.187 x2
Co  0.218  0.626  0.228 x2
P  0.212  0.905  0.593 x2
P  0.398  0.306  0.013 x2
O  0.070  0.442  0.346 x2
O  0.119  0.811  0.385 x2
O  0.169  0.159  0.968 x2
O  0.259  0.486  0.008 x2
O  0.393  0.811  0.120 x2
O  0.400  0.067  0.587 x2
O  0.411  0.764  0.753 x2

***

x.
LiCoP2O7: single point on PBEsol structure, SCAN.

Its density is 2.81 Mg/m³. As for the calculated volume: 12.9 Å³/atom.

a = 14.148 Å, b = 4.874 Å, c = 8.516 Å
α = 90.00°, β = 104.96°, γ = 90.00°
Space group Cc (No. 9)
Inequivalent atoms, fractional coordinates:
Li  0.000  0.172  0.000 x4
Co  0.291  0.494  0.493 x4
P  0.189  0.146  0.711 x4
P  0.391  0.137  0.780 x4
O  0.104  0.037  0.161 x4
O  0.195  0.294  0.876 x4
O  0.199  0.363  0.583 x4
O  0.290  0.034  0.248 x4
O  0.385  0.371  0.903 x4
O  0.389  0.278  0.614 x4
O  0.475  0.053  0.336 x4

***

What should be chosen as the least stable of them? Choose x.